Compound: MnZnI2O
Source: the Alexandria database
Functional: GGA+U
Structure: relaxed

space-group type	P4/mmm (123)
offset from the most stable computed form	0.1271	eV/atom

```
MnZnI2O
1.0
5.7546 0.0000 0.0000
0.0000 5.7546 0.0000
0.0000 0.0000 3.7498
I Zn Mn O
2 1 1 1
direct
0.0000 0.5000 0.0000
0.5000 0.0000 0.0000
0.0000 0.0000 0.0000
0.5000 0.5000 0.5000
0.0000 0.0000 0.5000
```